No. 1
# Pr4NdTm7

Pr4NdTm7 after structural relaxation (PBE-GGA, Alexandria via LeMat-Bulk).

Properties
DOS(E_F): 16.255 states/eV/f.u.
Spin magnetization: 0.00 Bohr magnetons per cell
Uncorrected energy: -4.57 eV/atom

a = 7.139 Å, b = 8.013 Å, c = 11.799 Å
α = 61.91°, β = 41.33°, γ = 63.38°
Fractional positions:
Tm 0.500 0.000 0.000
Tm 0.002 0.669 0.331
Tm 0.248 0.835 0.668
Tm 0.250 0.498 0.001
Tm 0.750 0.502 0.999
Tm 0.752 0.165 0.332
Tm 0.998 0.331 0.669
Pr 0.503 0.664 0.332
Pr 0.750 0.830 0.668
Pr 0.250 0.170 0.332
Pr 0.497 0.336 0.668
Nd 0.000 0.000 0.000

=====

No. 2
# PrNd3Tm7

PrNd3Tm7 after structural relaxation (PBE-GGA, Alexandria via LeMat-Bulk).

Properties
DOS(E_F): 17.005 states/eV/f.u.
Spin magnetization: 0.00 Bohr magnetons per cell
Uncorrected energy: -4.46 eV/atom

a = 6.631 Å, b = 6.498 Å, c = 8.606 Å
α = 81.07°, β = 81.17°, γ = 94.83°
Fractional positions:
Nd 0.936 0.796 0.158
Nd 0.064 0.204 0.842
Nd 0.500 0.000 0.000
Tm 0.221 0.730 0.783
Tm 0.738 0.986 0.587
Tm 0.000 0.500 0.500
Tm 0.779 0.270 0.217
Tm 0.262 0.014 0.413
Tm 0.293 0.443 0.143
Tm 0.707 0.557 0.857
Pr 0.500 0.500 0.500

=====

No. 3
# Pr7Nd12Tm

Pr7Nd12Tm after structural relaxation (PBE-GGA, Alexandria via LeMat-Bulk).

Properties
DOS(E_F): 29.218 states/eV/f.u.
Spin magnetization: 0.00 Bohr magnetons per cell
Uncorrected energy: -4.16 eV/atom

a = 10.134 Å, b = 10.134 Å, c = 10.134 Å
α = 109.47°, β = 109.47°, γ = 109.47°
Fractional positions:
Nd 0.245 0.999 0.754
Nd 0.491 0.246 0.245
Nd 0.246 0.755 0.001
Nd 0.754 0.245 0.999
Nd 0.755 0.509 0.754
Nd 0.754 0.755 0.509
Nd 0.999 0.754 0.245
Nd 0.246 0.245 0.491
Nd 0.001 0.246 0.755
Nd 0.755 0.001 0.246
Nd 0.509 0.754 0.755
Nd 0.245 0.491 0.246
Tm 0.000 0.000 0.000
Pr 0.500 0.500 0.000
Pr 0.000 0.000 0.500
Pr 0.500 0.000 0.500
Pr 0.500 0.000 0.000
Pr 0.000 0.500 0.500
Pr 0.500 0.500 0.500
Pr 0.000 0.500 0.000

=====

No. 4
# Pr2Nd6Tm3

Pr2Nd6Tm3 after structural relaxation (PBE-GGA, Alexandria via LeMat-Bulk).

Properties
DOS(E_F): 16.357 states/eV/f.u.
Spin magnetization: 0.00 Bohr magnetons per cell
Uncorrected energy: -4.40 eV/atom

a = 4.789 Å, b = 4.789 Å, c = 17.514 Å
α = 97.86°, β = 97.86°, γ = 90.00°
Fractional positions:
Nd 0.877 0.377 0.755
Nd 0.705 0.705 0.411
Nd 0.123 0.623 0.245
Nd 0.377 0.877 0.755
Nd 0.623 0.123 0.245
Nd 0.295 0.295 0.589
Pr 0.455 0.455 0.909
Pr 0.545 0.545 0.091
Tm 0.000 0.000 0.000
Tm 0.805 0.805 0.610
Tm 0.195 0.195 0.390

=====

No. 5
# Pr4Nd2Tm5

Pr4Nd2Tm5 after structural relaxation (PBE-GGA, Alexandria via LeMat-Bulk).

Properties
DOS(E_F): 18.763 states/eV/f.u.
Spin magnetization: 0.00 Bohr magnetons per cell
Uncorrected energy: -4.58 eV/atom

a = 3.601 Å, b = 8.677 Å, c = 14.554 Å
α = 90.67°, β = 125.77°, γ = 89.63°
Fractional positions:
Nd 0.058 0.349 0.102
Nd 0.942 0.651 0.898
Pr 0.065 0.206 0.528
Pr 0.236 0.746 0.177
Pr 0.764 0.254 0.823
Pr 0.935 0.794 0.472
Tm 0.158 0.471 0.351
Tm 0.842 0.529 0.649
Tm 0.973 0.075 0.282
Tm 0.500 0.000 0.000
Tm 0.027 0.925 0.718

=====

No. 6
# PrNd2Tm12

PrNd2Tm12 after structural relaxation (PBE-GGA, Alexandria via LeMat-Bulk).

Properties
DOS(E_F): 21.990 states/eV/f.u.
Spin magnetization: 0.00 Bohr magnetons per cell
Uncorrected energy: -4.42 eV/atom

a = 6.570 Å, b = 6.570 Å, c = 24.812 Å
α = 96.63°, β = 96.63°, γ = 115.17°
Fractional positions:
Tm 0.901 0.901 0.202
Tm 0.443 0.443 0.924
Tm 0.666 0.666 0.554
Tm 0.679 0.179 0.570
Tm 0.099 0.099 0.798
Tm 0.499 0.499 0.333
Tm 0.398 0.898 0.863
Tm 0.057 0.057 0.076
Tm 0.102 0.602 0.137
Tm 0.599 0.599 0.798
Tm 0.821 0.321 0.430
Tm 0.001 0.001 0.667
Tm 0.501 0.501 0.667
Tm 0.401 0.401 0.202
Tm 0.999 0.999 0.333
Tm 0.602 0.102 0.137
Tm 0.334 0.334 0.446
Tm 0.322 0.822 0.430
Tm 0.943 0.943 0.924
Tm 0.178 0.678 0.570
Tm 0.834 0.834 0.446
Tm 0.557 0.557 0.076
Tm 0.166 0.166 0.554
Tm 0.898 0.398 0.863
Pr 0.000 0.500 0.000
Pr 0.500 0.000 0.000
Nd 0.955 0.455 0.274
Nd 0.455 0.955 0.274
Nd 0.545 0.045 0.726
Nd 0.045 0.545 0.726